A relaxed structure of Cd8AgHg6, computed with PBE-GGA.

Results
Its energy above the most stable polymorph in this dataset is 0 meV/atom. The formation energy is 0.02 eV/atom. The value obtained for the total moment is 0.0000 μB per atom.

```
15
Lattice="6.6476 0.0000 0.0000 2.1765 7.0592 0.0000 0.6078 1.1057 7.4691" Properties=species:S:1:pos:R:3 pbc="T T T"
Cd 0.5213 1.3911 1.2465
Cd 4.0202 4.2835 5.2192
Cd 3.1888 1.6891 2.8629
Cd 4.5464 5.8592 0.1632
Cd 4.8855 2.3056 7.3059
Cd 6.2431 6.4757 4.6062
Cd 5.4117 3.8813 2.2499
Cd 8.9107 6.7738 6.2226
Ag 1.3922 4.0824 3.7346
Hg 2.1435 1.9795 5.7262
Hg 2.5397 3.7059 0.8211
Hg 3.4492 6.3243 3.1806
Hg 5.9827 1.8405 4.2885
Hg 6.8922 4.4589 6.6480
Hg 7.2884 6.1853 1.7429
```


A relaxed structure of CdAg2Hg2, computed with PBE-GGA.

Results
Its energy above the most stable polymorph in this dataset is 0 meV/atom. The formation energy is 0.04 eV/atom. The value obtained for the total moment is 0.0000 μB per atom.

```
10
Lattice="5.0426 0.0000 0.0000 -2.4958 6.3802 0.0000 -2.4499 -1.1232 7.0211" Properties=species:S:1:pos:R:3 pbc="T T T"
Cd -1.2292 1.3237 1.7408
Cd 1.3261 3.9334 5.2802
Ag 1.2696 0.3445 0.6532
Ag -1.2048 2.9758 4.1631
Ag 1.3017 2.2813 2.8580
Ag -1.1727 4.9125 6.3678
Hg -2.4900 5.0835 2.6577
Hg 0.0183 3.9363 0.8815
Hg 0.0786 1.3207 6.1395
Hg 2.5869 0.1735 4.3633
```


A relaxed structure of Cd3Ag2Hg, computed with PBE-GGA.

Results
Its energy above the most stable polymorph in this dataset is 0 meV/atom. The formation energy is -0.01 eV/atom. The value obtained for the total moment is 0.0000 μB per atom.

```
6
Lattice="3.4126 0.0000 0.0000 0.0000 3.4126 0.0000 0.0000 0.0000 10.5894" Properties=species:S:1:pos:R:3 pbc="T T T"
Cd 0.0000 0.0000 0.0000
Cd 0.0000 0.0000 3.3263
Cd 0.0000 0.0000 7.2632
Ag 1.7063 1.7063 1.6423
Ag 1.7063 1.7063 8.9472
Hg 1.7063 1.7063 5.2947
```


A relaxed structure of Cd8AgHg6, computed with PBE-GGA.

Results
Its energy above the most stable polymorph in this dataset is 39 meV/atom. The formation energy is 0.06 eV/atom. The value obtained for the total moment is 0.0000 μB per atom.

```
15
Lattice="4.2037 2.4270 6.1421 -4.2037 2.4270 6.1421 0.0000 -4.8540 6.1421" Properties=species:S:1:pos:R:3 pbc="T T T"
Cd -2.8510 0.0573 7.1119
Cd 0.0000 0.0000 3.0178
Cd -1.4752 -2.4404 11.3143
Cd 1.3759 -2.4977 7.1119
Cd -1.3759 2.4977 11.3143
Cd 1.4752 2.4404 7.1119
Cd 0.0000 0.0000 15.4084
Cd 2.8510 -0.0573 11.3143
Ag 0.0000 0.0000 9.2131
Hg -1.4204 -2.3368 8.1041
Hg -2.7340 0.0617 10.3221
Hg -1.3135 2.3986 8.1041
Hg 1.3135 -2.3985 10.3221
Hg 2.7340 -0.0617 8.1041
Hg 1.4204 2.3368 10.3221
```


A relaxed structure of CdAg4Hg, computed with PBE-GGA.

Results
Its energy above the most stable polymorph in this dataset is 76 meV/atom. The formation energy is 0.09 eV/atom. The value obtained for the total moment is 0.0000 μB per atom.

```
6
Lattice="0.0000 3.9507 3.9507 3.9507 0.0000 3.9507 3.9507 3.9507 0.0000" Properties=species:S:1:pos:R:3 pbc="T T T"
Cd 0.0000 0.0000 0.0000
Ag 2.9619 2.9619 2.9619
Ag 4.9394 4.9394 2.9619
Ag 4.9394 2.9619 4.9394
Ag 2.9619 4.9394 4.9394
Hg 5.9260 5.9260 5.9260
```


A relaxed structure of CdAgHg, computed with PBE-GGA.

Results
Its energy above the most stable polymorph in this dataset is 42 meV/atom. The formation energy is 0.05 eV/atom. The value obtained for the total moment is 0.0000 μB per atom.

```
3
Lattice="0.0000 2.4944 7.0188 1.8176 0.0000 7.0188 1.8176 2.4944 0.0000" Properties=species:S:1:pos:R:3 pbc="T T T"
Cd 0.0000 0.0000 0.0000
Ag 1.8176 2.4944 4.7851
Hg 1.8176 2.4944 9.4824
```


Result set for calculated total energy: -0.0572 -0.1030 -0.1081 -0.0543 -0.1482 -0.0956 Ry per atom, one per record in the order listed.